Entry 1:
The following is a DFT calculation (GGA-PBE) of a geometry-optimized Pr4PuSn15 structure.

The structure in POSCAR format:
```
Pr4PuSn15
1.0
-1.3514 -3.3779 -3.0428
-0.4219 -3.0707 3.5961
-22.9404 6.5581 2.9082
Sn Pr Pu
15 4 1
Cartesian
-21.4263 4.2392 1.1135
-11.6796 1.7467 3.2481
-2.8688 -1.0657 -1.2393
-7.0410 0.4187 2.6622
-12.5661 -1.4765 3.5235
-0.8887 -3.2277 0.2814
-2.4039 -0.9114 2.0793
-19.3160 2.0427 2.6146
-5.3987 -1.9354 0.8498
-16.3201 3.0708 3.8391
-7.9277 -2.8046 2.9378
-10.0303 -0.6072 1.4323
-17.2066 -0.1528 4.1150
-20.9615 4.3935 4.4321
-14.6797 0.7216 2.0221
-14.2129 0.8745 5.3415
-4.4964 1.2844 0.5712
-18.4453 5.2715 2.3400
-9.5687 -0.4528 4.7523
-0.0019 -0.0032 0.0044
```

SG: Pmm2 (25)
Volume (Å³ per cell): 541
Magnetization (μB/cell): 5.6
Energy of formation (meV per atom): -476
E_tot (eV per formula unit): -103.01

Entry 2:
The following is a DFT calculation (GGA-PBE) of a geometry-optimized PrPuSn4 structure.

The structure in POSCAR format:
```
PrPuSn4
1.0
-0.4986 3.5785 -5.0016
-5.1808 -0.0848 -3.3501
-3.7897 4.8688 0.0555
Pu Sn Pr
1 4 1
Cartesian
0.0000 0.0000 0.0000
-5.6713 3.4355 -2.6807
-4.0215 2.7887 -5.2155
-5.9212 5.2292 -5.1878
-3.3243 5.2717 -3.5085
-2.3673 2.0906 -2.0741
```

SG: F-43m (216)
Volume (Å³ per cell): 166
Magnetization (μB/cell): 7.0
Energy of formation (meV per atom): -289
E_tot (eV per formula unit): -36.86

Entry 3:
The following is a DFT calculation (GGA-PBE) of a geometry-optimized PrPuTlSn structure.

The structure in POSCAR format:
```
PrPuTlSn
1.0
-5.4394 0.6161 0.0495
-2.9210 -1.1062 -4.4959
-3.2545 -4.3999 -0.1359
Sn Tl Pr Pu
1 1 1 1
Cartesian
-2.9037 -1.2225 -1.1456
-8.7112 -3.6675 -3.4367
-5.8075 -2.4450 -2.2912
0.0000 0.0000 0.0000
```

SG: F-43m (216)
Volume (Å³ per cell): 116
Magnetization (μB/cell): 6.2
Energy of formation (meV per atom): -306
E_tot (eV per formula unit): -26.70